--- A ---
The following is a DFT calculation (PBE) of an optimized crystal structure of CuIrPd2.

Unit cell a=3.7183 b=3.7183 c=18.1082 alpha=90.00 beta=90.00 gamma=90.00
With the nearest neighbours (Å) after each atom.
Space group I-42d (No. 122)
Unique sites:
Cu  0.0000  0.0000  0.0000 x4  4 Pd 2.62, 4 Ir 2.63
Ir  0.0000  0.0000  0.5000 x4  4 Pd 2.62, 4 Cu 2.63
Pd  0.2487  0.2500  0.6250 x8  2 Ir 2.62, 2 Cu 2.62, 4 Pd 2.62-2.64

Calculated values
magnetization: 0.000 μB/atom
theoretical density: 12.43 Mg/m³
N(E_F): 4.383 states/eV/f.u.



--- B ---
The following is a DFT calculation (PBE) of an optimized crystal structure of CuIrPd2.

Unit cell a=2.7553 b=2.7553 c=26.3026 alpha=90.00 beta=90.00 gamma=120.00
With the nearest neighbours (Å) after each atom.
Space group R-3m (No. 166, hexagonal axes)
Unique sites:
Cu  0.0000  0.0000  0.0000 x3  6 Pd 2.66, 6 Cu 2.76
Ir  0.0000  0.0000  0.5000 x3  6 Ir 2.76, 6 Pd 2.76
Pd  0.0000  0.0000  0.2523 x6  3 Cu 2.66, 6 Pd 2.76, 3 Ir 2.76

Calculated values
magnetization: 0.000 μB/atom
theoretical density: 13.50 Mg/m³
N(E_F): 5.633 states/eV/f.u.



--- C ---
The following is a DFT calculation (PBE) of an optimized crystal structure of CuIrPd2.

Unit cell a=6.1677 b=6.1677 c=6.1677 alpha=90.00 beta=90.00 gamma=90.00
With the nearest neighbours (Å) after each atom.
Space group Fm-3m (No. 225)
Unique sites:
Cu  0.0000  0.0000  0.0000 x4  8 Pd 2.67
Ir  0.0000  0.0000  0.5000 x4  8 Pd 2.67
Pd  0.2500  0.2500  0.2500 x8  4 Cu 2.67, 4 Ir 2.67

Calculated values
magnetization: 0.001 μB/atom
theoretical density: 13.27 Mg/m³
N(E_F): 6.791 states/eV/f.u.



Most stable structure, least stable structure: B, A.



--- A ---
The following is a DFT calculation (PBE) of an optimized crystal structure of CuIrPd2.

Unit cell a=2.7694 b=2.7694 c=7.4788 alpha=90.00 beta=90.00 gamma=90.00
With the nearest neighbours (Å) after each atom.
Space group P4/mmm (No. 123)
Unique sites:
Cu  0.0000  0.0000  0.0000 x1  8 Pd 2.66, 4 Cu 2.77
Ir  0.0000  0.0000  0.5000 x1  8 Pd 2.75, 4 Ir 2.77
Pd  0.5000  0.5000  0.2414 x2  4 Cu 2.66, 4 Ir 2.75, 4 Pd 2.77

Calculated values
magnetization: 0.000 μB/atom
theoretical density: 13.57 Mg/m³
N(E_F): 6.247 states/eV/f.u.



--- B ---
The following is a DFT calculation (PBE) of an optimized crystal structure of CuIrPd2.

Unit cell a=6.1588 b=6.1588 c=6.1588 alpha=90.00 beta=90.00 gamma=90.00
With the nearest neighbours (Å) after each atom.
Space group F-43m (No. 216)
Unique sites:
Cu  0.0000  0.0000  0.0000 x4  4 Ir 2.67, 4 Pd 2.67
Ir  0.2500  0.2500  0.2500 x4  4 Cu 2.67, 4 Pd 2.67
Pd  0.0000  0.0000  0.5000 x4  4 Ir 2.67, 4 Pd 2.67
Pd  0.2500  0.2500  0.7500 x4  4 Cu 2.67, 4 Pd 2.67

Calculated values
magnetization: 0.386 μB/atom
theoretical density: 13.32 Mg/m³
N(E_F): 5.269 states/eV/f.u.



Most stable structure, least stable structure: A, B.



--- A ---
The following is a DFT calculation (PBE) of an optimized crystal structure of CuIrPd.

Unit cell a=3.7113 b=3.7113 c=6.5264 alpha=90.00 beta=90.00 gamma=90.00
With the nearest neighbours (Å) after each atom.
Space group P4/nmm (No. 129, origin choice 2)
Unique sites:
Cu  0.2500  0.2500  0.2091 x2  5 Pd 2.52-2.63, 4 Ir 2.65
Ir  0.2500  0.7500  0.5000 x2  4 Ir 2.62, 4 Cu 2.65, 4 Pd 2.80
Pd  0.2500  0.2500  0.8222 x2  5 Cu 2.52-2.63, 4 Ir 2.80

Calculated values
magnetization: 0.001 μB/atom
theoretical density: 13.38 Mg/m³
N(E_F): 4.606 states/eV/f.u.



--- B ---
The following is a DFT calculation (PBE) of an optimized crystal structure of CuIrPd.

Unit cell a=2.7263 b=2.7263 c=11.3386 alpha=90.00 beta=90.00 gamma=90.00
With the nearest neighbours (Å) after each atom.
Space group I4mm (No. 107)
Unique sites:
Cu  0.0000  0.0000  0.0000 x2  4 Ir 2.65, 4 Pd 2.70, 4 Cu 2.73
Ir  0.0000  0.0000  0.3396 x2  4 Cu 2.65, 4 Ir 2.73, 4 Pd 2.75
Pd  0.0000  0.0000  0.6662 x2  4 Cu 2.70, 4 Pd 2.73, 4 Ir 2.75

Calculated values
magnetization: 0.000 μB/atom
theoretical density: 14.27 Mg/m³
N(E_F): 5.118 states/eV/f.u.



--- C ---
The following is a DFT calculation (PBE) of an optimized crystal structure of CuIrPd.

Unit cell a=2.7314 b=2.7314 c=6.5424 alpha=90.00 beta=90.00 gamma=120.00
With the nearest neighbours (Å) after each atom.
Space group P3m1 (No. 156)
Unique sites:
Cu  0.0000  0.0000  0.0000 x1  3 Ir 2.64, 3 Pd 2.66, 6 Cu 2.73
Ir  0.3333  0.6667  0.6763 x1  3 Cu 2.64, 6 Ir 2.73, 3 Pd 2.77
Pd  0.6667  0.3333  0.3279 x1  3 Cu 2.66, 6 Pd 2.73, 3 Ir 2.77

Calculated values
magnetization: 0.000 μB/atom
theoretical density: 14.23 Mg/m³
N(E_F): 4.420 states/eV/f.u.



Most stable structure, least stable structure: C, A.



--- A ---
The following is a DFT calculation (PBE) of an optimized crystal structure of ZrCuIrPd.

Unit cell a=3.7397 b=3.9766 c=4.2173 alpha=90.00 beta=90.00 gamma=90.00
With the nearest neighbours (Å) after each atom.
Space group Pmmm (No. 47)
Unique sites:
Zr  0.0000  0.0000  0.0000 x1  4 Ir 2.73, 4 Pd 2.82, 4 Cu 2.90
Cu  0.0000  0.5000  0.5000 x1  4 Pd 2.73, 4 Ir 2.82, 4 Zr 2.90
Ir  0.5000  0.5000  0.0000 x1  4 Zr 2.73, 4 Cu 2.82, 4 Pd 2.90
Pd  0.5000  0.0000  0.5000 x1  4 Cu 2.73, 4 Zr 2.82, 4 Ir 2.90

Calculated values
magnetization: 0.000 μB/atom
theoretical density: 12.00 Mg/m³
N(E_F): 0.762 states/eV/f.u.



--- B ---
The following is a DFT calculation (PBE) of an optimized crystal structure of ZrCuIrPd.

Unit cell a=6.3527 b=6.3527 c=6.3527 alpha=90.00 beta=90.00 gamma=90.00
With the nearest neighbours (Å) after each atom.
Space group F-43m (No. 216)
Unique sites:
Zr  0.0000  0.0000  0.0000 x4  4 Ir 2.75, 4 Pd 2.75
Cu  0.0000  0.0000  0.5000 x4  4 Ir 2.75, 4 Pd 2.75
Ir  0.2500  0.2500  0.7500 x4  4 Zr 2.75, 4 Cu 2.75
Pd  0.2500  0.2500  0.2500 x4  4 Zr 2.75, 4 Cu 2.75

Calculated values
magnetization: 0.000 μB/atom
theoretical density: 11.75 Mg/m³
N(E_F): 0.630 states/eV/f.u.



Most stable structure, least stable structure: A, B.



--- A ---
The following is a DFT calculation (PBE) of an optimized crystal structure of PmCuIr.

Unit cell a=4.2840 b=4.2840 c=3.8182 alpha=90.00 beta=90.00 gamma=120.00
With the nearest neighbours (Å) after each atom.
Space group P-6m2 (No. 187)
Unique sites:
Pm  0.0000  0.0000  0.0000 x1  6 Ir 3.12, 6 Cu 3.12
Cu  0.3333  0.6667  0.5000 x1  3 Ir 2.47
Ir  0.6667  0.3333  0.5000 x1  3 Cu 2.47

Calculated values
magnetization: 0.000 μB/atom
theoretical density: 10.97 Mg/m³
N(E_F): 2.490 states/eV/f.u.



--- B ---
The following is a DFT calculation (PBE) of an optimized crystal structure of PmCuIr.

Unit cell a=5.0806 b=5.5948 c=7.6152 alpha=90.00 beta=90.00 gamma=90.00
With the nearest neighbours (Å) after each atom.
Space group Imma (No. 74)
Unique sites:
Pm  0.0000  0.2500  0.1261 x4  6 Ir 3.05-3.17, 6 Cu 3.13-3.21, 4 Pm 3.16-3.39
Cu  0.2500  0.2500  0.7500 x4  2 Cu 2.54, 4 Ir 2.68
Ir  0.0000  0.0000  0.5000 x4  4 Cu 2.68, 2 Ir 2.80

Calculated values
magnetization: 0.000 μB/atom
theoretical density: 12.30 Mg/m³
N(E_F): 1.587 states/eV/f.u.



Most stable structure, least stable structure: B, A.



--- A ---
The following is a DFT calculation (PBE) of an optimized crystal structure of PmCu2Ir.

Unit cell a=4.0554 b=4.0554 c=4.1558 alpha=90.00 beta=90.00 gamma=90.00
With the nearest neighbours (Å) after each atom.
Space group P4/mmm (No. 123)
Unique sites:
Pm  0.0000  0.0000  0.0000 x1  4 Ir 2.87, 8 Cu 2.90
Cu  0.0000  0.5000  0.5000 x2  4 Cu 2.87, 4 Pm 2.90, 4 Ir 2.90
Ir  0.5000  0.5000  0.0000 x1  4 Pm 2.87, 8 Cu 2.90

Calculated values
magnetization: 0.000 μB/atom
theoretical density: 11.28 Mg/m³
N(E_F): 1.131 states/eV/f.u.



--- B ---
The following is a DFT calculation (PBE) of an optimized crystal structure of PmCu2Ir.

Unit cell a=6.4730 b=6.4730 c=6.4730 alpha=90.00 beta=90.00 gamma=90.00
With the nearest neighbours (Å) after each atom.
Space group Fm-3m (No. 225)
Unique sites:
Pm  0.0000  0.0000  0.0000 x4  8 Cu 2.80
Cu  0.2500  0.2500  0.2500 x8  4 Ir 2.80, 4 Pm 2.80
Ir  0.0000  0.0000  0.5000 x4  8 Cu 2.80

Calculated values
magnetization: 0.000 μB/atom
theoretical density: 11.37 Mg/m³
N(E_F): 1.862 states/eV/f.u.



--- C ---
The following is a DFT calculation (PBE) of an optimized crystal structure of PmCu2Ir.

Unit cell a=4.3126 b=4.3126 c=13.6475 alpha=90.00 beta=90.00 gamma=120.00
With the nearest neighbours (Å) after each atom.
Space group R-3m (No. 166, hexagonal axes)
Unique sites:
Pm  0.0000  0.0000  0.0000 x3  8 Cu 2.80-3.05
Cu  0.0000  0.0000  0.2048 x6  3 Ir 2.54, 3 Cu 2.70, 1 Pm 2.80
Ir  0.0000  0.0000  0.5000 x3  6 Cu 2.54

Calculated values
magnetization: 0.000 μB/atom
theoretical density: 10.52 Mg/m³
N(E_F): 2.012 states/eV/f.u.



Most stable structure, least stable structure: C, B.